{
  "formula": "LiCa2Hf",
  "functional": "GGA-PBEsol",
  "state": "relaxed",
  "total_energy_ev_per_atom": -3.62,
  "spacegroup": "Fm-3m (225)",
  "cell": [[5.4433, 0.0000, 0.0000], [2.7217, 4.7141, 0.0000], [2.7217, 1.5714, 4.4445]],
  "species": ["Ca", "Ca", "Hf", "Li"],
  "fractional_positions": [[0.2500, 0.2500, 0.2500], [0.7500, 0.7500, 0.7500], [0.5000, 0.5000, 0.5000], [0.0000, 0.0000, 0.0000]]
}


{
  "formula": "NiMoSe2",
  "functional": "GGA-PBEsol",
  "state": "relaxed",
  "total_energy_ev_per_atom": -6.30,
  "e_above_lowest_polymorph_mev_per_atom": 0.0,
  "spacegroup": "Fm-3m (225)",
  "cell": [[-1.9202, 3.9219, 0.3309], [-3.3863, 1.0054, -2.5884], [-4.0260, 0.3312, 1.6911]],
  "species": ["Ni", "Mo", "Se", "Se"],
  "fractional_positions": [[0.0000, 0.0000, 0.0000], [0.5000, 0.5000, 0.5000], [0.2500, 0.2500, 0.2500], [0.7500, 0.7500, 0.7500]]
}


Number 1: total magnetization 0.0001 μB/atom, theoretical density 3.87 g/cm³. Number 2: total magnetization 0.4525 μB/atom, theoretical density 8.74 g/cm³.